# 1
{"formula": "LiPmZn2", "functional": "PBEsol", "state": "optimized geometry", "lattice": [[0.000, 3.376, 3.376], [3.376, 0.000, 3.376], [3.376, 3.376, 0.000]], "species": ["Li", "Pm", "Zn", "Zn"], "fractional_positions": [[0.000, 0.000, 0.000], [0.500, 0.500, 0.500], [0.250, 0.250, 0.250], [0.750, 0.750, 0.750]], "space_group": "Fm-3m", "formation_energy_ev_per_atom": -0.2468}

# 2
{"formula": "Al2PdI", "functional": "PBEsol", "state": "optimized geometry", "lattice": [[-2.989, 2.989, 6.316], [2.989, -2.989, 6.316], [2.989, 2.989, -6.316]], "species": ["Al", "Al", "Al", "Al", "Pd", "Pd", "I", "I"], "fractional_positions": [[0.028, 0.625, 0.903], [0.375, 0.278, 0.403], [0.722, 0.125, 0.097], [0.875, 0.972, 0.597], [0.000, 0.000, 0.000], [0.750, 0.250, 0.500], [0.250, 0.750, 0.500], [0.500, 0.500, 0.000]], "space_group": "I-42d", "dft_energy_ev_per_fu": -15.8}

# 3
{"formula": "MnBiPO5", "functional": "PBEsol", "state": "optimized geometry", "lattice": [[5.327, 0.000, 0.000], [0.000, 11.320, 0.000], [-2.903, 0.000, 7.037]], "species": ["Mn", "Mn", "Mn", "Mn", "Bi", "Bi", "Bi", "Bi", "P", "P", "P", "P", "O", "O", "O", "O", "O", "O", "O", "O", "O", "O", "O", "O", "O", "O", "O", "O", "O", "O", "O", "O"], "fractional_positions": [[0.056, 0.088, 0.185], [0.056, 0.412, 0.685], [0.944, 0.588, 0.315], [0.944, 0.912, 0.815], [0.433, 0.099, 0.813], [0.433, 0.401, 0.313], [0.567, 0.599, 0.687], [0.567, 0.901, 0.187], [0.314, 0.650, 0.022], [0.314, 0.850, 0.522], [0.686, 0.150, 0.478], [0.686, 0.350, 0.978], [0.183, 0.725, 0.493], [0.183, 0.775, 0.993], [0.225, 0.578, 0.163], [0.225, 0.922, 0.663], [0.231, 0.582, 0.832], [0.231, 0.918, 0.332], [0.261, 0.024, 0.015], [0.261, 0.476, 0.515], [0.374, 0.173, 0.396], [0.374, 0.327, 0.896], [0.626, 0.673, 0.104], [0.626, 0.827, 0.604], [0.739, 0.524, 0.485], [0.739, 0.976, 0.985], [0.769, 0.082, 0.668], [0.769, 0.418, 0.168], [0.775, 0.078, 0.337], [0.775, 0.422, 0.837], [0.817, 0.225, 0.007], [0.817, 0.275, 0.507]], "space_group": "P2_1/c", "dft_energy_ev_per_fu": -60.4}

# 4
{"formula": "Li2FeSi", "functional": "PBEsol", "state": "optimized geometry", "lattice": [[2.889, 0.000, 0.000], [0.000, 2.889, 0.000], [0.000, 0.000, 6.092]], "species": ["Li", "Li", "Fe", "Si"], "fractional_positions": [[0.000, 0.000, 0.000], [0.500, 0.500, 0.303], [0.500, 0.500, 0.745], [0.000, 0.000, 0.579]], "space_group": "P4mm", "dft_energy_ev_per_fu": -19.0}

# 5
{"formula": "Ca2LaMn", "functional": "PBEsol", "state": "optimized geometry", "lattice": [[4.155, 0.000, 0.000], [0.000, 5.231, 0.000], [0.000, 0.000, 5.545]], "species": ["Ca", "Ca", "La", "Mn"], "fractional_positions": [[0.000, 0.000, 0.000], [0.500, 0.500, 0.000], [0.000, 0.500, 0.500], [0.500, 0.000, 0.500]], "space_group": "Pmmm", "formation_energy_ev_per_atom": 0.4506}

# 6
{"formula": "EuZn2Sb2", "functional": "PBEsol", "state": "optimized geometry", "lattice": [[4.477, 0.000, 0.000], [-2.238, 3.877, 0.000], [0.000, 0.000, 7.261]], "species": ["Eu", "Zn", "Zn", "Sb", "Sb"], "fractional_positions": [[0.000, 0.000, 0.000], [0.333, 0.667, 0.642], [0.667, 0.333, 0.358], [0.333, 0.667, 0.262], [0.667, 0.333, 0.738]], "space_group": "P-3m1", "dft_energy_ev_per_fu": -25.2}

# 7
{"formula": "LiRe2B2", "functional": "PBEsol", "state": "optimized geometry", "lattice": [[5.691, 0.000, 0.000], [0.000, 5.691, 0.000], [0.000, 0.000, 3.010]], "species": ["Li", "Li", "Re", "Re", "Re", "Re", "B", "B", "B", "B"], "fractional_positions": [[0.000, 0.000, 0.000], [0.500, 0.500, 0.000], [0.173, 0.327, 0.500], [0.327, 0.827, 0.500], [0.673, 0.173, 0.500], [0.827, 0.673, 0.500], [0.119, 0.619, 0.000], [0.381, 0.119, 0.000], [0.619, 0.881, 0.000], [0.881, 0.381, 0.000]], "space_group": "P4/mbm", "formation_energy_ev_per_atom": -0.3019}

# 8
{"formula": "Li2ScSi", "functional": "PBEsol", "state": "optimized geometry", "lattice": [[0.000, 3.061, 3.061], [3.061, 0.000, 3.061], [3.061, 3.061, 0.000]], "species": ["Li", "Li", "Sc", "Si"], "fractional_positions": [[0.250, 0.250, 0.250], [0.750, 0.750, 0.750], [0.000, 0.000, 0.000], [0.500, 0.500, 0.500]], "space_group": "Fm-3m", "dft_energy_ev_per_fu": -17.4}

# 9
{"formula": "LaYOs2", "functional": "PBEsol", "state": "optimized geometry", "lattice": [[-2.038, 2.038, 4.834], [2.038, -2.038, 4.834], [2.038, 2.038, -4.834]], "species": ["La", "Y", "Os", "Os"], "fractional_positions": [[0.000, 0.000, 0.000], [0.250, 0.750, 0.500], [0.500, 0.500, 0.000], [0.750, 0.250, 0.500]], "space_group": "I-4m2", "formation_energy_ev_per_atom": 0.4175}

# 10
{"formula": "RbTiNbS2", "functional": "PBEsol", "state": "optimized geometry", "lattice": [[5.437, 0.000, 0.000], [0.000, 5.437, 0.000], [0.000, 0.000, 4.743]], "species": ["Rb", "Ti", "Nb", "S", "S"], "fractional_positions": [[0.000, 0.000, 0.000], [0.000, 0.000, 0.500], [0.500, 0.500, 0.500], [0.000, 0.500, 0.000], [0.500, 0.000, 0.000]], "space_group": "P4/mmm", "dft_energy_ev_per_fu": -19.1}

# 11
{"formula": "CaInPb2", "functional": "PBEsol", "state": "optimized geometry", "lattice": [[0.000, 3.856, 3.856], [3.856, 0.000, 3.856], [3.856, 3.856, 0.000]], "species": ["Ca", "In", "Pb", "Pb"], "fractional_positions": [[0.000, 0.000, 0.000], [0.750, 0.750, 0.750], [0.250, 0.250, 0.250], [0.500, 0.500, 0.500]], "space_group": "F-43m", "formation_energy_ev_per_atom": -0.2251}

# 12
{"formula": "In2SeBr", "functional": "PBEsol", "state": "optimized geometry", "lattice": [[3.943, 0.000, 0.000], [0.000, 3.943, 0.000], [0.000, 0.000, 8.005]], "species": ["In", "In", "Se", "Br"], "fractional_positions": [[0.000, 0.000, 0.000], [0.500, 0.500, 0.457], [0.000, 0.000, 0.408], [0.500, 0.500, 0.812]], "space_group": "P4mm", "dft_energy_ev_per_fu": -13.2}

# 13
{"formula": "Ag2BiPtPb", "functional": "PBEsol", "state": "optimized geometry", "lattice": [[5.078, 0.000, 0.000], [0.000, 5.078, 0.000], [0.000, 0.000, 5.912]], "species": ["Ag", "Ag", "Bi", "Pt", "Pb"], "fractional_positions": [[0.000, 0.500, 0.000], [0.500, 0.000, 0.000], [0.000, 0.000, 0.000], [0.500, 0.500, 0.500], [0.000, 0.000, 0.500]], "space_group": "P4/mmm", "formation_energy_ev_per_atom": 1.1883}

# 14
{"formula": "NaLa3Ni", "functional": "PBEsol", "state": "optimized geometry", "lattice": [[5.517, 0.000, 0.000], [0.000, 5.517, 0.000], [0.000, 0.000, 5.517]], "species": ["Na", "La", "La", "La", "Ni"], "fractional_positions": [[0.000, 0.000, 0.000], [0.000, 0.500, 0.500], [0.500, 0.000, 0.500], [0.500, 0.500, 0.000], [0.500, 0.500, 0.500]], "space_group": "Pm-3m", "formation_energy_ev_per_atom": 0.0829}

# 15
{"formula": "Rb2LaCuCl6", "functional": "PBEsol", "state": "optimized geometry", "lattice": [[0.000, 5.202, 5.202], [5.202, 0.000, 5.202], [5.202, 5.202, 0.000]], "species": ["Rb", "Rb", "La", "Cu", "Cl", "Cl", "Cl", "Cl", "Cl", "Cl"], "fractional_positions": [[0.250, 0.250, 0.250], [0.750, 0.750, 0.750], [0.000, 0.000, 0.000], [0.500, 0.500, 0.500], [0.263, 0.263, 0.737], [0.263, 0.737, 0.263], [0.263, 0.737, 0.737], [0.737, 0.263, 0.263], [0.737, 0.263, 0.737], [0.737, 0.737, 0.263]], "space_group": "Fm-3m", "dft_energy_ev_per_fu": -41.4}

# 16
{"formula": "Cd3Rh", "functional": "PBEsol", "state": "optimized geometry", "lattice": [[3.098, 0.000, 0.000], [0.000, 4.625, 0.000], [0.000, 0.000, 4.929]], "species": ["Cd", "Cd", "Cd", "Rh"], "fractional_positions": [[0.000, 0.000, 0.000], [0.000, 0.500, 0.361], [0.500, 0.000, 0.521], [0.500, 0.500, 0.861]], "space_group": "Pmm2", "formation_energy_ev_per_atom": -0.0473}

# 17
{"formula": "CsS2NO4F2", "functional": "PBEsol", "state": "optimized geometry", "lattice": [[7.852, 0.000, 0.000], [0.000, 8.500, 0.000], [-6.037, 0.000, 10.464]], "species": ["Cs", "Cs", "Cs", "Cs", "S", "S", "S", "S", "S", "S", "S", "S", "N", "N", "N", "N", "O", "O", "O", "O", "O", "O", "O", "O", "O", "O", "O", "O", "O", "O", "O", "O", "F", "F", "F", "F", "F", "F", "F", "F"], "fractional_positions": [[0.227, 0.246, 0.088], [0.227, 0.254, 0.588], [0.773, 0.746, 0.412], [0.773, 0.754, 0.912], [0.213, 0.602, 0.346], [0.213, 0.898, 0.846], [0.367, 0.686, 0.044], [0.367, 0.814, 0.544], [0.633, 0.186, 0.456], [0.633, 0.314, 0.956], [0.787, 0.102, 0.154], [0.787, 0.398, 0.654], [0.391, 0.708, 0.445], [0.391, 0.792, 0.945], [0.609, 0.208, 0.055], [0.609, 0.292, 0.555], [0.095, 0.535, 0.395], [0.095, 0.965, 0.895], [0.186, 0.599, 0.991], [0.186, 0.901, 0.491], [0.282, 0.505, 0.280], [0.282, 0.995, 0.780], [0.451, 0.108, 0.375], [0.451, 0.392, 0.875], [0.549, 0.608, 0.125], [0.549, 0.892, 0.625], [0.718, 0.005, 0.220], [0.718, 0.495, 0.720], [0.814, 0.099, 0.509], [0.814, 0.401, 0.009], [0.905, 0.035, 0.105], [0.905, 0.465, 0.605], [0.068, 0.726, 0.242], [0.068, 0.774, 0.742], [0.347, 0.688, 0.637], [0.347, 0.812, 0.137], [0.653, 0.188, 0.863], [0.653, 0.312, 0.363], [0.932, 0.226, 0.258], [0.932, 0.274, 0.758]], "space_group": "P2_1/c", "dft_energy_ev_per_fu": -57.6}

# 18
{"formula": "Re2IrW", "functional": "PBEsol", "state": "optimized geometry", "lattice": [[3.876, 0.000, 0.000], [0.000, 3.876, 0.000], [0.000, 0.000, 3.901]], "species": ["Re", "Re", "Ir", "W"], "fractional_positions": [[0.000, 0.500, 0.000], [0.500, 0.000, 0.000], [0.000, 0.000, 0.500], [0.500, 0.500, 0.500]], "space_group": "P4/mmm", "formation_energy_ev_per_atom": -0.1089}

# 19
{"formula": "ZrCrAg2", "functional": "PBEsol", "state": "optimized geometry", "lattice": [[2.782, -4.197, 0.000], [2.782, 4.197, 0.000], [0.000, 0.000, 2.955]], "species": ["Zr", "Cr", "Ag", "Ag"], "fractional_positions": [[0.000, 0.000, 0.000], [0.500, 0.500, 0.000], [0.000, 0.500, 0.500], [0.500, 0.000, 0.500]], "space_group": "Cmmm", "formation_energy_ev_per_atom": 0.3310}

# 20
{"formula": "PuMnRh2", "functional": "PBEsol", "state": "optimized geometry", "lattice": [[-2.269, 2.269, 3.157], [2.269, -2.269, 3.157], [2.269, 2.269, -3.157]], "species": ["Pu", "Mn", "Rh", "Rh"], "fractional_positions": [[0.000, 0.000, 0.000], [0.500, 0.500, 0.000], [0.250, 0.750, 0.500], [0.750, 0.250, 0.500]], "space_group": "I4/mmm", "formation_energy_ev_per_atom": -0.0515}

Magnetization readings, ordered: 0.0 0.0 20.0 0.0 3.8 7.0 0.0 0.0 0.0 5.9 0.0 0.0 0.0 0.0 0.0 0.0 0.3 0.0 3.1 8.9 μB/cell